# YMo2PdBr

A geometry-optimized YMo2PdBr structure (PBE-GGA, Alexandria via LeMat-Bulk).

Output
crystal system = tetragonal

abc: 5.0455 5.0455 5.0528
angles: 90.00 90.00 90.00
With the nearest neighbours (Å) after each atom.
Space group P4/mmm (No. 123)
Inequivalent atoms, fractional coordinates:
Y  0.0000  0.0000  0.0000 x1  4 Mo 2.52, 2 Pd 2.53
Mo  0.0000  0.5000  0.0000 x2  2 Y 2.52
Pd  0.0000  0.0000  0.5000 x1  2 Y 2.53
Br  0.5000  0.5000  0.5000 x1  4 Pd 3.57, 8 Mo 3.57

# Pm2BiN

A geometry-optimized Pm2BiN structure (PBE-GGA, Alexandria via LeMat-Bulk).

Output
crystal system = tetragonal
distance to the lowest polymorph of the same formula = 649 meV per atom

abc: 3.2824 3.2824 8.0490
angles: 90.00 90.00 90.00
With the nearest neighbours (Å) after each atom.
Space group P4/mmm (No. 123)
Inequivalent atoms, fractional coordinates:
Pm  0.0000  0.0000  0.1834 x2  4 N 2.75, 1 Pm 2.95
Bi  0.5000  0.5000  0.5000 x1  4 Bi 3.28, 8 Pm 3.45
N  0.5000  0.5000  0.0000 x1  8 Pm 2.75

What did we get for magnetization? Answer: 0.000 0.000 μB per formula unit, in the order shown.
What did we get for calculated volume? Answer: 25.7 21.7 A^3/atom, in the order shown.
What did we get for formation energy without anion corrections? Answer: 2113 -542 meV per atom, in the order shown.